First-principles (PBE) data for a geometry-optimized Ca2YAgC structure, as listed in Alexandria via LeMat-Bulk.

Structure (CIF):
```
data_Ca2YAgC
_cell_length_a 5.042
_cell_length_b 5.042
_cell_length_c 4.913
_cell_angle_alpha 90.00
_cell_angle_beta 90.00
_cell_angle_gamma 90.00
_symmetry_space_group_name_H-M 'P 4/m m m'
_symmetry_Int_Tables_number 123
_symmetry_space_group_name_Hall '-P 4 2'
loop_
_atom_site_label
_atom_site_fract_x
_atom_site_fract_y
_atom_site_fract_z
_atom_site_occupancy
Ca1 0.000 0.500 0.000 1
Y1 0.000 0.000 0.500 1
Ag1 0.500 0.500 0.500 1
C1 0.000 0.000 0.000 1
```

Output
Its energy of formation is -38 meV/atom. Its calculated volume is 124.9 Å³/cell. The crystal system is tetragonal. The total magnetization is 0.0 μB per cell.